{"formula": "BaLiGeS3", "functional": "PBE", "state": "optimized geometry", "lattice_angstrom": [[5.641, -3.715, 0.000], [5.641, 3.715, 0.000], [-4.223, 0.000, 7.146]], "species": ["Ba", "Ba", "Li", "Li", "Ge", "Ge", "S", "S", "S", "S", "S", "S"], "fractional_positions": [[0.205, 0.205, 0.206], [0.795, 0.795, 0.794], [0.175, 0.825, 0.500], [0.825, 0.175, 0.500], [0.460, 0.460, 0.832], [0.540, 0.540, 0.168], [0.190, 0.692, 0.194], [0.236, 0.236, 0.614], [0.308, 0.810, 0.806], [0.692, 0.190, 0.194], [0.764, 0.764, 0.386], [0.810, 0.308, 0.806]], "raw_formation_energy_mev_per_atom": -1154.6}

---

{"formula": "TaCd4Sb", "functional": "PBE", "state": "optimized geometry", "lattice_angstrom": [[0.000, 4.049, 4.049], [4.049, 0.000, 4.049], [4.049, 4.049, 0.000]], "species": ["Ta", "Cd", "Cd", "Cd", "Cd", "Sb"], "fractional_positions": [[0.000, 0.000, 0.000], [0.123, 0.626, 0.626], [0.626, 0.123, 0.626], [0.626, 0.626, 0.123], [0.626, 0.626, 0.626], [0.250, 0.250, 0.250]], "raw_formation_energy_mev_per_atom": 532.5}

---

{"formula": "Ac5SnHg2", "functional": "PBE", "state": "optimized geometry", "lattice_angstrom": [[-4.536, 4.536, 7.151], [4.536, -4.536, 7.151], [4.536, 4.536, -7.151]], "species": ["Ac", "Ac", "Ac", "Ac", "Ac", "Ac", "Ac", "Ac", "Ac", "Ac", "Sn", "Sn", "Hg", "Hg", "Hg", "Hg"], "fractional_positions": [[0.000, 0.000, 0.000], [0.010, 0.510, 0.815], [0.194, 0.010, 0.500], [0.306, 0.806, 0.815], [0.490, 0.306, 0.500], [0.500, 0.500, 0.000], [0.510, 0.694, 0.500], [0.694, 0.194, 0.185], [0.806, 0.990, 0.500], [0.990, 0.490, 0.185], [0.250, 0.250, 0.000], [0.750, 0.750, 0.000], [0.136, 0.364, 0.500], [0.364, 0.864, 0.228], [0.636, 0.136, 0.772], [0.864, 0.636, 0.500]], "formation_enthalpy_0k_ev_per_fu": -3.40}

---

{"formula": "Zr4PC2N", "functional": "PBE", "state": "optimized geometry", "lattice_angstrom": [[-3.018, 3.018, 3.516], [3.018, -3.018, 3.516], [3.018, 3.018, -3.516]], "species": ["Zr", "Zr", "Zr", "Zr", "P", "C", "C", "N"], "fractional_positions": [[0.046, 0.626, 0.000], [0.374, 0.374, 0.420], [0.626, 0.046, 0.000], [0.954, 0.954, 0.580], [0.500, 0.500, 0.000], [0.250, 0.750, 0.500], [0.750, 0.250, 0.500], [0.000, 0.000, 0.000]], "raw_formation_energy_mev_per_atom": -621.2}

---

{"formula": "KTlS2", "functional": "PBE", "state": "optimized geometry", "lattice_angstrom": [[4.087, 0.000, 0.000], [-2.043, 3.539, 0.000], [0.000, 0.000, 7.968]], "species": ["K", "Tl", "S", "S"], "fractional_positions": [[0.000, 0.000, 0.000], [0.667, 0.333, 0.557], [0.000, 0.000, 0.385], [0.333, 0.667, 0.754]], "de_polymorph_mev_per_atom": 160, "raw_formation_energy_mev_per_atom": -470.2}

---

{"formula": "Er6TlIn2", "functional": "PBE", "state": "optimized geometry", "lattice_angstrom": [[-2.570, 3.633, 7.708], [2.570, -3.633, 7.708], [2.570, 3.633, -7.708]], "species": ["Er", "Er", "Er", "Er", "Er", "Er", "Tl", "In", "In"], "fractional_positions": [[0.082, 0.333, 0.750], [0.249, 0.000, 0.249], [0.417, 0.667, 0.750], [0.583, 0.333, 0.250], [0.751, 0.000, 0.751], [0.918, 0.667, 0.250], [0.500, 0.500, 0.000], [0.166, 0.166, 0.000], [0.834, 0.834, 0.000]], "formation_enthalpy_0k_ev_per_fu": -0.62}

---

{"formula": "FeTeRu", "functional": "PBE", "state": "optimized geometry", "lattice_angstrom": [[3.505, 0.000, 0.000], [-1.752, 3.035, 0.000], [0.000, 0.000, 10.204]], "species": ["Fe", "Fe", "Te", "Te", "Ru", "Ru"], "fractional_positions": [[0.000, 0.000, 0.000], [0.000, 0.000, 0.500], [0.667, 0.333, 0.181], [0.667, 0.333, 0.819], [0.333, 0.667, 0.370], [0.333, 0.667, 0.630]], "de_polymorph_mev_per_atom": 301, "raw_formation_energy_mev_per_atom": 463.4}

---

{"formula": "SnAs2SeCl", "functional": "PBE", "state": "optimized geometry", "lattice_angstrom": [[4.913, 0.000, 0.000], [0.000, 4.913, 0.000], [0.000, 0.000, 5.257]], "species": ["Sn", "As", "As", "Se", "Cl"], "fractional_positions": [[0.000, 0.000, 0.000], [0.000, 0.500, 0.500], [0.500, 0.000, 0.500], [0.500, 0.500, 0.000], [0.500, 0.500, 0.500]], "de_polymorph_mev_per_atom": 2, "raw_formation_energy_mev_per_atom": 752.1}

---

{"formula": "Sc2GeOsC", "functional": "PBE", "state": "optimized geometry", "lattice_angstrom": [[4.543, 0.000, 0.000], [0.000, 4.543, 0.000], [0.000, 0.000, 3.913]], "species": ["Sc", "Sc", "Ge", "Os", "C"], "fractional_positions": [[0.000, 0.500, 0.000], [0.500, 0.000, 0.000], [0.000, 0.000, 0.500], [0.500, 0.500, 0.500], [0.500, 0.500, 0.000]], "formation_enthalpy_0k_ev_per_fu": -2.35}

---

{"formula": "KHgOs2", "functional": "PBE", "state": "optimized geometry", "lattice_angstrom": [[2.785, 0.000, 0.000], [0.000, 5.526, 0.000], [-0.179, 0.000, 5.025]], "species": ["K", "Hg", "Os", "Os"], "fractional_positions": [[0.000, 0.000, 0.000], [0.500, 0.000, 0.500], [0.352, 0.500, 0.752], [0.648, 0.500, 0.248]], "formation_enthalpy_0k_ev_per_fu": 5.03}

---

{"formula": "SrNiGe2", "functional": "PBE", "state": "optimized geometry", "lattice_angstrom": [[2.107, -8.721, 0.000], [2.107, 8.721, 0.000], [0.000, 0.000, 4.439]], "species": ["Sr", "Sr", "Ni", "Ni", "Ge", "Ge", "Ge", "Ge"], "fractional_positions": [[0.145, 0.855, 0.000], [0.855, 0.145, 0.000], [0.428, 0.572, 0.500], [0.572, 0.428, 0.500], [0.000, 0.000, 0.500], [0.292, 0.708, 0.500], [0.500, 0.500, 0.000], [0.708, 0.292, 0.500]], "formation_enthalpy_0k_ev_per_fu": -1.95}

---

{"formula": "La2ScAl", "functional": "PBE", "state": "optimized geometry", "lattice_angstrom": [[-2.380, 2.380, 4.882], [2.380, -2.380, 4.882], [2.380, 2.380, -4.882]], "species": ["La", "La", "Sc", "Al"], "fractional_positions": [[0.000, 0.000, 0.000], [0.750, 0.250, 0.500], [0.250, 0.750, 0.500], [0.500, 0.500, 0.000]], "formation_enthalpy_0k_ev_per_fu": -0.49}

---

| no. | size of the total moment (μB/atom) |
| --- | --- |
| 1 | 0.0000 |
| 2 | 0.3668 |
| 3 | 0.0000 |
| 4 | 0.0000 |
| 5 | 0.0000 |
| 6 | 0.0000 |
| 7 | 0.7094 |
| 8 | 0.0000 |
| 9 | 0.0000 |
| 10 | 0.0000 |
| 11 | 0.0000 |
| 12 | 0.0002 |